Compound: ScTiCr2O6
Source: the Alexandria database
Functional: PBE+U
Structure: optimized geometry

Values from the calculation:
- Final energy: -8.48 eV per atom

Cell and atoms, written as CIF:
```
data_ScTiCr2O6
_space_group_name_H-M_alt 'P 1'
_space_group_IT_number 1
_cell_length_a 5.1315
_cell_length_b 5.2083
_cell_length_c 5.5288
_cell_angle_alpha 63.65
_cell_angle_beta 89.81
_cell_angle_gamma 60.96
loop_
_space_group_symop_operation_xyz
'x,y,z'
loop_
_atom_site_label
_atom_site_type_symbol
_atom_site_fract_x
_atom_site_fract_y
_atom_site_fract_z
_atom_site_occupancy
Sc1 Sc 0.0000 0.0000 0.0000 1
Ti1 Ti 0.5144 0.9787 0.5262 1
Cr1 Cr 0.2160 0.5735 0.6181 1
Cr2 Cr 0.7224 0.5590 0.1401 1
O1 O 0.1703 0.0277 0.3454 1
O2 O 0.3000 0.1029 0.8008 1
O3 O 0.4280 0.4306 0.3448 1
O4 O 0.6071 0.4750 0.8273 1
O5 O 0.8106 0.7791 0.3416 1
O6 O 0.9205 0.7635 0.8249 1
```